1.
Computed, not measured: a geometry-optimized LaTaZn3 structure at the PBE-GGA level of DFT.

The structure in extended XYZ format:
```
5
Lattice="4.972 0.000 0.000 0.000 4.972 0.000 0.000 0.000 4.972" Properties=species:S:1:pos:R:3 pbc="T T T"
La 0.000 0.000 0.000
Ta 2.486 2.486 2.486
Zn 0.000 2.486 2.486
Zn 2.486 0.000 2.486
Zn 2.486 2.486 0.000
```

Output
E above lowest polymorph ... 0 meV per atom
Calculated total energy ... -3.72 eV per atom
Energy of formation ... 0.4053 eV/atom

***

2.
Computed, not measured: a geometry-optimized Cs6NpI12 structure at the PBE-GGA level of DFT.

The structure in extended XYZ format:
```
19
Lattice="8.052 4.649 5.264 -8.052 4.649 5.264 0.000 -9.298 5.264" Properties=species:S:1:pos:R:3 pbc="T T T"
Cs -3.789 1.091 5.600
Cs 0.950 -3.827 5.600
Cs -2.839 -2.736 10.192
Cs 2.839 2.736 5.600
Cs -0.950 3.827 10.192
Cs 3.789 -1.091 10.192
Np 0.000 0.000 0.000
I -5.669 -5.327 8.798
I -7.448 2.246 6.993
I -2.594 -2.504 6.316
I 1.779 -7.573 6.993
I -3.466 0.994 9.476
I -0.872 3.499 6.316
I 0.872 -3.499 9.476
I 3.466 -0.994 6.316
I -1.779 7.573 8.798
I 2.594 2.504 9.476
I 7.448 -2.246 8.798
I 5.669 5.327 6.993
```

Output
Calculated total energy ... -3.06 eV per atom
Formation energy (no corrections) ... -1.128 eV per atom

***

3.
Computed, not measured: a geometry-optimized PrTmSbO2 structure at the PBE-GGA level of DFT.

The structure in extended XYZ format:
```
10
Lattice="7.305 0.000 0.000 0.000 3.955 0.000 -2.250 0.000 7.584" Properties=species:S:1:pos:R:3 pbc="T T T"
Pr 0.378 0.989 3.245
Pr 4.677 2.966 4.338
Tm -1.014 0.989 6.890
Tm 6.069 2.966 0.693
Sb 1.645 2.966 5.943
Sb 3.410 0.989 1.640
O -0.265 0.989 0.904
O 5.320 2.966 6.680
O -0.740 2.966 2.830
O 5.795 0.989 4.753
```

Output
Calculated total energy ... -7.27 eV per atom
Formation energy (no corrections) ... -2.608 eV per atom

***

4.
Computed, not measured: a geometry-optimized BaFeCl structure at the PBE-GGA level of DFT.

The structure in extended XYZ format:
```
3
Lattice="0.000 3.680 3.680 3.680 0.000 3.680 3.680 3.680 0.000" Properties=species:S:1:pos:R:3 pbc="T T T"
Ba 0.000 0.000 0.000
Fe 3.680 3.680 3.680
Cl 5.519 5.519 5.519
```

Output
E above lowest polymorph ... 77 meV per atom
Calculated total energy ... -4.13 eV per atom
Formation energy (no corrections) ... -0.048 eV per atom

***

5.
Computed, not measured: a geometry-optimized Cs2TlSe2 structure at the PBE-GGA level of DFT.

The structure in extended XYZ format:
```
5
Lattice="-2.699 2.699 7.254 2.699 -2.699 7.254 2.699 2.699 -7.254" Properties=species:S:1:pos:R:3 pbc="T T T"
Cs 2.699 0.000 3.627
Cs 0.000 2.699 3.627
Tl 0.000 0.000 0.000
Se 0.000 0.000 5.878
Se 0.000 0.000 8.631
```

Output
E above lowest polymorph ... 458 meV per atom
Calculated total energy ... -2.61 eV per atom
Formation energy (no corrections) ... -0.401 eV per atom

***

6.
Computed, not measured: a geometry-optimized NaTmCoCl6 structure at the PBE-GGA level of DFT.

The structure in extended XYZ format:
```
18
Lattice="6.524 0.000 0.000 -3.262 5.650 0.000 0.000 0.000 12.574" Properties=species:S:1:pos:R:3 pbc="T T T"
Na 0.000 0.000 0.000
Na 0.000 0.000 6.287
Tm 0.000 3.766 3.144
Tm 3.262 1.883 9.431
Co 0.000 3.766 9.431
Co 3.262 1.883 3.144
Cl -1.078 2.065 8.009
Cl -2.012 3.684 10.852
Cl 1.078 2.065 10.852
Cl -0.934 5.551 8.009
Cl 2.328 0.099 1.722
Cl 1.250 1.966 4.565
Cl 2.012 3.684 8.009
Cl 0.934 5.551 10.852
Cl 4.196 0.099 4.565
Cl 2.184 3.584 1.722
Cl 5.274 1.966 1.722
Cl 4.340 3.584 4.565
```

Output
Calculated total energy ... -4.25 eV per atom
Formation energy (no corrections) ... -1.584 eV per atom

***

7.
Computed, not measured: a geometry-optimized YFe12B4 structure at the PBE-GGA level of DFT.

The structure in extended XYZ format:
```
17
Lattice="-3.655 3.655 3.655 3.655 -3.655 3.655 3.655 3.655 -3.655" Properties=species:S:1:pos:R:3 pbc="T T T"
Y 0.000 0.000 0.000
Fe 3.655 -1.172 2.371
Fe 2.483 1.284 0.000
Fe 4.827 1.284 0.000
Fe 2.371 3.655 -1.172
Fe 1.284 0.000 2.483
Fe 3.655 1.172 2.371
Fe 0.000 2.483 1.284
Fe 2.371 3.655 1.172
Fe 1.284 0.000 4.827
Fe -1.172 2.371 3.655
Fe 1.172 2.371 3.655
Fe 0.000 4.827 1.284
B 1.827 1.827 -1.827
B 1.827 -1.827 1.827
B -1.827 1.827 1.827
B 1.827 1.827 1.827
```

Output
Calculated total energy ... -7.86 eV per atom
Energy of formation ... 0.0653 eV/atom

***

8.
Computed, not measured: a geometry-optimized TcBi2Au structure at the PBE-GGA level of DFT.

The structure in extended XYZ format:
```
8
Lattice="-3.246 3.246 5.998 3.246 -3.246 5.998 3.246 3.246 -5.998" Properties=species:S:1:pos:R:3 pbc="T T T"
Tc 0.000 0.000 0.000
Tc 0.000 3.246 2.999
Bi 4.868 1.461 -1.499
Bi 1.461 1.623 1.499
Bi -1.623 1.785 4.498
Bi 1.785 1.623 7.497
Au 3.246 0.000 2.999
Au 0.000 0.000 5.998
```

Output
E above lowest polymorph ... 155 meV per atom
Calculated total energy ... -4.65 eV per atom
Energy of formation ... 0.7048 eV/atom

***

no.,density of states at the Fermi level (states/eV/cell)
1,8.0
2,12.0
3,2.3
4,5.8
5,3.1
6,1.5
7,12.1
8,8.4